No. 1
{
  "formula": "Na3U3PtS8",
  "functional": "PBE",
  "state": "optimized geometry",
  "raw_formation_energy_ev_per_atom": -1.15,
  "dft_energy_ev_per_atom": -6.274,
  "lattice_angstrom": [[-1.558, 1.097, -7.469], [4.461, -5.756, 2.202], [-7.970, -0.614, 1.572]],
  "species": ["S", "S", "S", "S", "S", "S", "S", "S", "U", "U", "U", "Na", "Na", "Na", "Pt"],
  "fractional_positions": [[0.736, 0.981, 0.726], [0.746, 0.491, 0.734], [0.245, 0.981, 0.726], [0.223, 0.445, 0.710], [0.254, 0.509, 0.266], [0.755, 0.019, 0.274], [0.777, 0.555, 0.290], [0.264, 0.019, 0.274], [0.000, 0.500, 0.500], [0.500, 0.500, 0.500], [0.500, 0.000, 0.500], [0.000, 0.000, 0.000], [0.000, 0.500, 0.000], [0.500, 0.500, 0.000], [0.000, 0.000, 0.500]]
}

---

No. 2
{
  "formula": "MnPH2",
  "functional": "PBE",
  "state": "optimized geometry",
  "polymorph_energy_ev_per_atom": 0.1496,
  "dft_energy_ev_per_atom": -5.271,
  "lattice_angstrom": [[-0.785, -2.607, 1.131], [1.188, 0.767, 2.595], [-3.214, 0.917, 2.865]],
  "species": ["P", "Mn", "H", "H"],
  "fractional_positions": [[0.131, 0.370, 0.053], [0.705, 0.965, 0.860], [0.032, 0.187, 0.427], [0.574, 0.777, 0.243]]
}

---

No. 3
{
  "formula": "ErTmTe2",
  "functional": "PBE",
  "state": "optimized geometry",
  "polymorph_energy_ev_per_atom": 0.0000,
  "raw_formation_energy_ev_per_atom": -1.23,
  "dft_energy_ev_per_atom": -5.055,
  "lattice_angstrom": [[-0.103, 2.056, 3.590], [-3.588, 0.487, 2.004], [-0.008, -5.693, 5.645]],
  "species": ["Te", "Te", "Tm", "Er"],
  "fractional_positions": [[0.082, 0.082, 0.755], [0.252, 0.252, 0.245], [0.669, 0.669, 0.992], [0.497, 0.497, 0.508]]
}

---

No. 4
{
  "formula": "AlRu2Se2",
  "functional": "PBE",
  "state": "optimized geometry",
  "raw_formation_energy_ev_per_atom": 0.06,
  "dft_energy_ev_per_atom": -5.795,
  "lattice_angstrom": [[-0.759, -1.701, -3.610], [0.339, -3.689, 1.667], [-6.246, -2.680, 0.290]],
  "species": ["Ru", "Ru", "Se", "Se", "Al"],
  "fractional_positions": [[0.250, 0.750, 0.500], [0.750, 0.250, 0.500], [0.359, 0.359, 0.282], [0.641, 0.641, 0.718], [0.000, 0.000, 0.000]]
}

---

No. 5
{
  "formula": "Pm3Y8Sc",
  "functional": "PBE",
  "state": "optimized geometry",
  "ef_kj_per_mol_atoms": 58,
  "dft_energy_ev_per_atom": -5.423,
  "lattice_angstrom": [[0.493, -5.339, -6.462], [-4.672, -2.316, 6.581], [-4.129, 7.204, -1.244]],
  "species": ["Pm", "Pm", "Pm", "Y", "Y", "Y", "Y", "Y", "Y", "Y", "Y", "Sc"],
  "fractional_positions": [[0.000, 0.500, 0.500], [0.500, 0.750, 0.250], [0.500, 0.250, 0.750], [0.000, 0.792, 0.259], [0.533, 0.741, 0.741], [0.000, 0.634, 0.887], [0.253, 0.366, 0.366], [0.000, 0.887, 0.634], [0.467, 0.208, 0.208], [0.747, 0.113, 0.113], [0.000, 0.259, 0.792], [0.000, 0.000, 0.000]]
}

---

No. 6
{
  "formula": "RbNd2USe5",
  "functional": "PBE",
  "state": "optimized geometry",
  "raw_formation_energy_ev_per_atom": -1.48,
  "dft_energy_ev_per_atom": -5.839,
  "lattice_angstrom": [[-2.098, 2.549, -4.151], [5.556, -2.647, -4.433], [-5.759, -5.803, 2.735]],
  "species": ["Rb", "Se", "Se", "Se", "Se", "Se", "Nd", "Nd", "U"],
  "fractional_positions": [[0.000, 0.500, 0.000], [0.348, 0.085, 0.696], [0.000, 0.000, 0.000], [0.348, 0.611, 0.696], [0.652, 0.389, 0.304], [0.652, 0.915, 0.304], [0.797, 0.797, 0.593], [0.203, 0.203, 0.407], [0.500, 0.000, 0.000]]
}

---

No. 7
{
  "formula": "V2CuHOs",
  "functional": "PBE",
  "state": "optimized geometry",
  "polymorph_energy_ev_per_atom": 0.0227,
  "dft_energy_ev_per_atom": -7.395,
  "lattice_angstrom": [[-0.214, -1.731, -3.372], [3.411, -1.560, 0.585], [-1.666, -3.022, 1.656]],
  "species": ["H", "Os", "V", "V", "Cu"],
  "fractional_positions": [[0.000, 0.000, 0.000], [0.000, 0.000, 0.500], [0.500, 0.000, 0.000], [0.000, 0.500, 0.000], [0.500, 0.500, 0.500]]
}

---

No. 8
{
  "formula": "Mn2CdAu",
  "functional": "PBE",
  "state": "optimized geometry",
  "ef_kj_per_mol_atoms": 21,
  "dft_energy_ev_per_atom": -5.414,
  "lattice_angstrom": [[4.607, 0.000, 0.000], [2.304, 3.990, 0.000], [2.304, 1.330, 3.762]],
  "species": ["Cd", "Mn", "Mn", "Au"],
  "fractional_positions": [[0.750, 0.750, 0.750], [0.250, 0.250, 0.250], [0.000, 0.000, 0.000], [0.500, 0.500, 0.500]]
}

---

Number 1: total moment 6.7 μB/f.u.. Number 2: total moment 0.0 μB/f.u.. Number 3: total moment 0.0 μB/f.u.. Number 4: total moment 0.0 μB/f.u.. Number 5: total moment 0.0 μB/f.u.. Number 6: total moment 2.7 μB/f.u.. Number 7: total moment 0.0 μB/f.u.. Number 8: total moment 8.2 μB/f.u..